Record 1
ReSn2As: optimized geometry, PBE.

Computed properties:
The space-group type is I-42d. As for the calculated formation energy: 877 meV/atom. The value obtained for the calculated density is 6.98 g/cm3. For the total energy, the calculation gives -5.40 eV per atom. As for the magnetic moment: 0.00 μB/f.u.

Structure (CIF):
```
data_ReSn2As
_symmetry_space_group_name_H-M 'P 1'
_symmetry_Int_Tables_number 1
_cell_length_a 6.195
_cell_length_b 6.195
_cell_length_c 7.574
_cell_angle_alpha 65.86
_cell_angle_beta 65.86
_cell_angle_gamma 90.00
loop_
_symmetry_equiv_pos_as_xyz
'x,y,z'
loop_
_atom_site_label
_atom_site_type_symbol
_atom_site_fract_x
_atom_site_fract_y
_atom_site_fract_z
As1 As 0.500 0.500 0.000
As2 As 0.250 0.750 0.500
Re1 Re 0.750 0.250 0.500
Re2 Re 0.000 0.000 0.000
Sn1 Sn 0.108 0.625 0.250
Sn2 Sn 0.875 0.892 0.750
Sn3 Sn 0.375 0.358 0.750
Sn4 Sn 0.642 0.125 0.250
```


Record 2
BaP2Cl: optimized geometry, PBE.

Computed properties:
The space-group type is C2/m. The value obtained for the calculated density is 3.43 g/cm3. For the total energy, the calculation gives -4.63 eV per atom. As for the magnetic moment: 0.00 μB/f.u.

Structure (CIF):
```
data_BaP2Cl
_symmetry_space_group_name_H-M 'P 1'
_symmetry_Int_Tables_number 1
_cell_length_a 6.633
_cell_length_b 6.633
_cell_length_c 5.091
_cell_angle_alpha 80.17
_cell_angle_beta 80.17
_cell_angle_gamma 30.98
loop_
_symmetry_equiv_pos_as_xyz
'x,y,z'
loop_
_atom_site_label
_atom_site_type_symbol
_atom_site_fract_x
_atom_site_fract_y
_atom_site_fract_z
Ba1 Ba 0.750 0.750 0.750
P1 P 0.484 0.484 0.629
P2 P 0.016 0.016 0.871
Cl1 Cl 0.250 0.250 0.250
```


Record 3
Sm4Ho2Se9: optimized geometry, PBE.

Computed properties:
The space-group type is P-1. The value obtained for the calculated density is 5.99 g/cm3. For the total energy, the calculation gives -5.82 eV per atom. As for the magnetic moment: 0.00 μB/f.u.

Structure (CIF):
```
data_Sm4Ho2Se9
_symmetry_space_group_name_H-M 'P 1'
_symmetry_Int_Tables_number 1
_cell_length_a 7.311
_cell_length_b 7.314
_cell_length_c 19.633
_cell_angle_alpha 90.01
_cell_angle_beta 90.04
_cell_angle_gamma 60.06
loop_
_symmetry_equiv_pos_as_xyz
'x,y,z'
loop_
_atom_site_label
_atom_site_type_symbol
_atom_site_fract_x
_atom_site_fract_y
_atom_site_fract_z
Sm1 Sm 0.334 0.333 0.482
Sm2 Sm 0.666 0.667 0.518
Sm3 Sm 0.668 0.666 0.817
Sm4 Sm 0.667 0.666 0.018
Sm5 Sm 0.334 0.333 0.682
Sm6 Sm 0.332 0.334 0.183
Sm7 Sm 0.333 0.334 0.982
Sm8 Sm 0.666 0.667 0.318
Se1 Se 0.645 0.322 0.583
Se2 Se 0.702 0.298 0.250
Se3 Se 0.298 0.702 0.750
Se4 Se 0.001 0.297 0.750
Se5 Se 0.703 0.000 0.750
Se6 Se 0.034 0.644 0.583
Se7 Se 0.999 0.703 0.250
Se8 Se 0.643 0.035 0.083
Se9 Se 0.323 0.033 0.583
Se10 Se 0.678 0.357 0.917
Se11 Se 0.355 0.678 0.417
Se12 Se 0.035 0.320 0.083
Se13 Se 0.677 0.967 0.417
Se14 Se 0.322 0.643 0.083
Se15 Se 0.965 0.680 0.917
Se16 Se 0.966 0.356 0.417
Se17 Se 0.357 0.965 0.917
Se18 Se 0.297 0.000 0.250
Ho1 Ho 0.000 0.001 0.848
Ho2 Ho 0.000 0.999 0.152
Ho3 Ho 0.001 0.998 0.653
Ho4 Ho 0.999 0.002 0.347
```


Record 4
As2IrSeCl: optimized geometry, PBE.

Computed properties:
The space-group type is P4/mmm. The value obtained for the calculated density is 7.12 g/cm3. For the total energy, the calculation gives -3.15 eV per atom. As for the magnetic moment: 0.00 μB/f.u.

Structure (CIF):
```
data_As2IrSeCl
_symmetry_space_group_name_H-M 'P 1'
_symmetry_Int_Tables_number 1
_cell_length_a 4.671
_cell_length_b 4.671
_cell_length_c 4.878
_cell_angle_alpha 90.00
_cell_angle_beta 90.00
_cell_angle_gamma 90.00
loop_
_symmetry_equiv_pos_as_xyz
'x,y,z'
loop_
_atom_site_label
_atom_site_type_symbol
_atom_site_fract_x
_atom_site_fract_y
_atom_site_fract_z
As1 As 0.500 0.000 0.000
As2 As 0.000 0.500 0.000
Se1 Se 0.000 0.000 0.500
Cl1 Cl 0.000 0.000 0.000
Ir1 Ir 0.500 0.500 0.500
```


Record 5
RbCuC2: optimized geometry, PBE.

Computed properties:
The space-group type is P4/mmm. As for the calculated formation energy: 280 meV/atom. The value obtained for the calculated density is 2.82 g/cm3. For the total energy, the calculation gives -5.60 eV per atom. As for the magnetic moment: 0.00 μB/f.u.

Structure (CIF):
```
data_RbCuC2
_symmetry_space_group_name_H-M 'P 1'
_symmetry_Int_Tables_number 1
_cell_length_a 4.542
_cell_length_b 4.542
_cell_length_c 4.946
_cell_angle_alpha 90.00
_cell_angle_beta 90.00
_cell_angle_gamma 90.00
loop_
_symmetry_equiv_pos_as_xyz
'x,y,z'
loop_
_atom_site_label
_atom_site_type_symbol
_atom_site_fract_x
_atom_site_fract_y
_atom_site_fract_z
C1 C 0.000 0.000 0.627
C2 C 0.000 0.000 0.373
Rb1 Rb 0.500 0.500 0.500
Cu1 Cu 0.000 0.000 0.000
```


Record 6
CaReGe2: optimized geometry, PBE.

Computed properties:
The space-group type is R-3m. As for the calculated formation energy: 19 meV/atom. The value obtained for the calculated density is 7.78 g/cm3. For the total energy, the calculation gives -5.90 eV per atom. As for the magnetic moment: 0.00 μB/f.u.

Structure (CIF):
```
data_CaReGe2
_symmetry_space_group_name_H-M 'P 1'
_symmetry_Int_Tables_number 1
_cell_length_a 3.412
_cell_length_b 3.412
_cell_length_c 8.109
_cell_angle_alpha 77.86
_cell_angle_beta 77.86
_cell_angle_gamma 60.00
loop_
_symmetry_equiv_pos_as_xyz
'x,y,z'
loop_
_atom_site_label
_atom_site_type_symbol
_atom_site_fract_x
_atom_site_fract_y
_atom_site_fract_z
Re1 Re 0.000 0.000 0.000
Ge1 Ge 0.737 0.737 0.788
Ge2 Ge 0.263 0.263 0.212
Ca1 Ca 0.500 0.500 0.500
```


Record 7
Na2LiZn2: optimized geometry, PBE.

Computed properties:
The space-group type is P4/mbm. As for the calculated formation energy: 127 meV/atom. The value obtained for the calculated density is 2.57 g/cm3. For the total energy, the calculation gives -1.29 eV per atom. As for the magnetic moment: 0.00 μB/f.u.

Structure (CIF):
```
data_Na2LiZn2
_symmetry_space_group_name_H-M 'P 1'
_symmetry_Int_Tables_number 1
_cell_length_a 8.730
_cell_length_b 8.730
_cell_length_c 3.113
_cell_angle_alpha 90.00
_cell_angle_beta 90.00
_cell_angle_gamma 90.00
loop_
_symmetry_equiv_pos_as_xyz
'x,y,z'
loop_
_atom_site_label
_atom_site_type_symbol
_atom_site_fract_x
_atom_site_fract_y
_atom_site_fract_z
Na1 Na 0.314 0.814 0.000
Na2 Na 0.686 0.186 0.000
Na3 Na 0.186 0.314 0.000
Na4 Na 0.814 0.686 0.000
Zn1 Zn 0.894 0.394 0.500
Zn2 Zn 0.394 0.106 0.500
Zn3 Zn 0.606 0.894 0.500
Zn4 Zn 0.106 0.606 0.500
Li1 Li 0.500 0.500 0.000
Li2 Li 0.000 0.000 0.000
```


Record 8
K2NaZn2: optimized geometry, PBE.

Computed properties:
The space-group type is I4/mmm. As for the calculated formation energy: 209 meV/atom. The value obtained for the calculated density is 1.90 g/cm3. For the total energy, the calculation gives -1.00 eV per atom. As for the magnetic moment: 0.00 μB/f.u.

Structure (CIF):
```
data_K2NaZn2
_symmetry_space_group_name_H-M 'P 1'
_symmetry_Int_Tables_number 1
_cell_length_a 5.494
_cell_length_b 5.494
_cell_length_c 7.768
_cell_angle_alpha 69.29
_cell_angle_beta 69.29
_cell_angle_gamma 90.00
loop_
_symmetry_equiv_pos_as_xyz
'x,y,z'
loop_
_atom_site_label
_atom_site_type_symbol
_atom_site_fract_x
_atom_site_fract_y
_atom_site_fract_z
Zn1 Zn 0.592 0.592 0.816
Zn2 Zn 0.408 0.408 0.184
K1 K 0.250 0.750 0.500
K2 K 0.750 0.250 0.500
Na1 Na 0.000 0.000 0.000
```


Record 9
PrNd5Dy4: optimized geometry, PBE.

Computed properties:
The space-group type is C2/m. As for the calculated formation energy: 152 meV/atom. The value obtained for the calculated density is 7.20 g/cm3. For the total energy, the calculation gives -4.55 eV per atom. As for the magnetic moment: 0.00 μB/f.u.

Structure (CIF):
```
data_PrNd5Dy4
_symmetry_space_group_name_H-M 'P 1'
_symmetry_Int_Tables_number 1
_cell_length_a 3.607
_cell_length_b 10.623
_cell_length_c 9.335
_cell_angle_alpha 83.89
_cell_angle_beta 101.14
_cell_angle_gamma 90.00
loop_
_symmetry_equiv_pos_as_xyz
'x,y,z'
loop_
_atom_site_label
_atom_site_type_symbol
_atom_site_fract_x
_atom_site_fract_y
_atom_site_fract_z
Dy1 Dy 0.954 0.760 0.907
Dy2 Dy 0.317 0.911 0.633
Dy3 Dy 0.046 0.240 0.093
Dy4 Dy 0.683 0.089 0.367
Nd1 Nd 0.810 0.597 0.620
Nd2 Nd 0.142 0.767 0.284
Nd3 Nd 0.858 0.233 0.716
Nd4 Nd 0.500 0.500 0.000
Nd5 Nd 0.190 0.403 0.380
Pr1 Pr 0.500 0.000 0.000
```


Record 10
Cr2CoPb: optimized geometry, PBE.

Computed properties:
The space-group type is Immm. As for the calculated formation energy: 610 meV/atom. The value obtained for the calculated density is 10.91 g/cm3. For the total energy, the calculation gives -6.91 eV per atom. As for the magnetic moment: 0.00 μB/f.u.

Structure (CIF):
```
data_Cr2CoPb
_symmetry_space_group_name_H-M 'P 1'
_symmetry_Int_Tables_number 1
_cell_length_a 4.936
_cell_length_b 4.936
_cell_length_c 4.936
_cell_angle_alpha 136.19
_cell_angle_beta 136.75
_cell_angle_gamma 63.25
loop_
_symmetry_equiv_pos_as_xyz
'x,y,z'
loop_
_atom_site_label
_atom_site_type_symbol
_atom_site_fract_x
_atom_site_fract_y
_atom_site_fract_z
Co1 Co 0.750 0.250 0.500
Cr1 Cr 0.500 0.500 0.000
Cr2 Cr 0.000 0.000 0.000
Pb1 Pb 0.250 0.750 0.500
```